Record 1
# Dy2AgPd6 | the Alexandria database | PBE | relaxed
# energy of formation = -0.4993 eV/atom
data_Dy2AgPd6
_symmetry_space_group_name_H-M 'C 1 2/m 1'
_symmetry_Int_Tables_number 12
_cell_length_a 9.2634
_cell_length_b 7.7074
_cell_length_c 4.9244
_cell_angle_alpha 90.00
_cell_angle_beta 107.02
_cell_angle_gamma 90.00
loop_
_symmetry_equiv_pos_as_xyz
'x,y,z'
'-x,-y,-z'
'-x,y,-z'
'x,-y,z'
'x+1/2,y+1/2,z'
'-x+1/2,-y+1/2,-z'
'-x+1/2,y+1/2,-z'
'x+1/2,-y+1/2,z'
loop_
_atom_site_label
_atom_site_fract_x
_atom_site_fract_y
_atom_site_fract_z
_atom_site_occupancy
Dy1 0.1999 0.0000 0.1146 1
Ag1 0.0000 0.5000 0.5000 1
Pd1 0.0000 0.3070 0.0000 1
Pd2 0.1504 0.1824 0.6137 1

---

Record 2
# MnTe2AuN | the Alexandria database | PBE | relaxed
# ΔE to the lowest computed polymorph = 806 meV/atom
data_MnTe2AuN
_symmetry_space_group_name_H-M 'P 4/m m m'
_symmetry_Int_Tables_number 123
_symmetry_space_group_name_Hall '-P 4 2'
_cell_length_a 5.6370
_cell_length_b 5.6370
_cell_length_c 3.8756
_cell_angle_alpha 90.00
_cell_angle_beta 90.00
_cell_angle_gamma 90.00
loop_
_atom_site_label
_atom_site_fract_x
_atom_site_fract_y
_atom_site_fract_z
_atom_site_occupancy
Mn1 0.0000 0.0000 0.0000 1
Te1 0.0000 0.5000 0.5000 1
Au1 0.5000 0.5000 0.5000 1
N1 0.5000 0.5000 0.0000 1

---

Record 3
# Ca3Cu5Br12 | the Alexandria database | PBE | relaxed
# energy = -533.4 eV/cell
data_Ca3Cu5Br12
_symmetry_space_group_name_H-M 'I a -3 d'
_symmetry_Int_Tables_number 230
_symmetry_space_group_name_Hall '-I 4bd 2c 3'
_cell_length_a 16.1864
_cell_length_b 16.1864
_cell_length_c 16.1864
_cell_angle_alpha 90.00
_cell_angle_beta 90.00
_cell_angle_gamma 90.00
loop_
_atom_site_label
_atom_site_fract_x
_atom_site_fract_y
_atom_site_fract_z
_atom_site_occupancy
Ca1 0.0000 0.2500 0.1250 1
Cu1 0.0000 0.0000 0.0000 1
Cu2 0.0000 0.2500 0.3750 1
Br1 0.0279 0.0587 0.6508 1

---

Record 4
# BeRe2Mo | the Alexandria database | PBE | relaxed
# energy of formation = 0.2058 eV/atom
data_BeRe2Mo
_symmetry_space_group_name_H-M 'R -3 m'
_symmetry_Int_Tables_number 166
_symmetry_space_group_name_Hall '-R 3 2"'
_cell_length_a 2.7725
_cell_length_b 2.7725
_cell_length_c 25.2193
_cell_angle_alpha 90.00
_cell_angle_beta 90.00
_cell_angle_gamma 120.00
loop_
_atom_site_label
_atom_site_fract_x
_atom_site_fract_y
_atom_site_fract_z
_atom_site_occupancy
Be1 0.0000 0.0000 0.0000 1
Re1 0.0000 0.0000 0.2563 1
Mo1 0.0000 0.0000 0.5000 1

---

Record 5
# TlSnO2 | the Alexandria database | PBE | relaxed
# ΔE to the lowest computed polymorph = 92 meV/atom
data_TlSnO2
_symmetry_space_group_name_H-M 'I -4 2 d'
_symmetry_Int_Tables_number 122
_symmetry_space_group_name_Hall 'I -4 2bw'
_cell_length_a 6.1611
_cell_length_b 6.1611
_cell_length_c 8.9385
_cell_angle_alpha 90.00
_cell_angle_beta 90.00
_cell_angle_gamma 90.00
loop_
_atom_site_label
_atom_site_fract_x
_atom_site_fract_y
_atom_site_fract_z
_atom_site_occupancy
Tl1 0.0000 0.0000 0.0000 1
Sn1 0.0000 0.0000 0.5000 1
O1 0.1360 0.2500 0.6250 1

---

Record 6
# PaTl3Zn2O6 | the Alexandria database | PBE | relaxed
# energy = -68.5 eV/cell
data_PaTl3Zn2O6
_symmetry_space_group_name_H-M 'P -3 m 1'
_symmetry_Int_Tables_number 164
_symmetry_space_group_name_Hall '-P 3 2"'
_cell_length_a 6.2463
_cell_length_b 6.2463
_cell_length_c 7.2782
_cell_angle_alpha 90.00
_cell_angle_beta 90.00
_cell_angle_gamma 120.00
loop_
_atom_site_label
_atom_site_fract_x
_atom_site_fract_y
_atom_site_fract_z
_atom_site_occupancy
Pa1 0.0000 0.0000 0.0000 1
Tl1 0.0000 0.0000 0.5000 1
Tl2 0.3333 0.6667 0.2353 1
Zn1 0.3333 0.6667 0.8035 1
O1 0.1597 0.3194 0.8154 1

---

Record 7
# BeCdSN2 | the Alexandria database | PBE | relaxed
# ΔE to the lowest computed polymorph = 0 meV/atom
data_BeCdSN2
_symmetry_space_group_name_H-M 'P 4/m m m'
_symmetry_Int_Tables_number 123
_symmetry_space_group_name_Hall '-P 4 2'
_cell_length_a 3.5479
_cell_length_b 3.5479
_cell_length_c 5.5336
_cell_angle_alpha 90.00
_cell_angle_beta 90.00
_cell_angle_gamma 90.00
loop_
_atom_site_label
_atom_site_fract_x
_atom_site_fract_y
_atom_site_fract_z
_atom_site_occupancy
Be1 0.0000 0.0000 0.0000 1
Cd1 0.5000 0.5000 0.5000 1
S1 0.0000 0.0000 0.5000 1
N1 0.0000 0.5000 0.0000 1

---

Record 8
# RbTh2Br8 | the Alexandria database | PBE | relaxed
# ΔE to the lowest computed polymorph = 0 meV/atom
data_RbTh2Br8
_symmetry_space_group_name_H-M 'C 1 2/m 1'
_symmetry_Int_Tables_number 12
_cell_length_a 9.2426
_cell_length_b 13.7067
_cell_length_c 5.8728
_cell_angle_alpha 90.00
_cell_angle_beta 100.28
_cell_angle_gamma 90.00
loop_
_symmetry_equiv_pos_as_xyz
'x,y,z'
'-x,-y,-z'
'-x,y,-z'
'x,-y,z'
'x+1/2,y+1/2,z'
'-x+1/2,-y+1/2,-z'
'-x+1/2,y+1/2,-z'
'x+1/2,-y+1/2,z'
loop_
_atom_site_label
_atom_site_fract_x
_atom_site_fract_y
_atom_site_fract_z
_atom_site_occupancy
Rb1 0.0000 0.0000 0.0000 1
Th1 0.0000 0.3194 0.5000 1
Br1 0.0000 0.2612 0.0000 1
Br2 0.0992 0.5000 0.7805 1
Br3 0.1908 0.1361 0.5713 1

---

Record 9
# Tb3Y3Ho4 | the Alexandria database | PBE | relaxed
# energy of formation = 0.0906 eV/atom
data_Tb3Y3Ho4
_symmetry_space_group_name_H-M 'A m m 2'
_symmetry_Int_Tables_number 38
_cell_length_a 3.7127
_cell_length_b 13.1833
_cell_length_c 13.1689
_cell_angle_alpha 90.00
_cell_angle_beta 90.00
_cell_angle_gamma 90.00
loop_
_symmetry_equiv_pos_as_xyz
'x,y,z'
'-x,-y,z'
'-x,y,z'
'x,-y,z'
'x,y+1/2,z+1/2'
'-x,-y+1/2,z+1/2'
'-x,y+1/2,z+1/2'
'x,-y+1/2,z+1/2'
loop_
_atom_site_label
_atom_site_fract_x
_atom_site_fract_y
_atom_site_fract_z
_atom_site_occupancy
Tb1 0.0000 0.0000 0.0000 1
Tb2 0.5000 0.2492 0.5783 1
Y1 0.0000 0.0000 0.6557 1
Y2 0.0000 0.1723 0.3279 1
Ho1 0.5000 0.0000 0.2013 1
Ho2 0.5000 0.0000 0.4536 1
Ho3 0.5000 0.1258 0.8286 1

---

Record 10
# Ba2ZrRh | the Alexandria database | PBE | relaxed
# ΔE to the lowest computed polymorph = 0 meV/atom
# energy of formation = -0.0605 eV/atom
data_Ba2ZrRh
_symmetry_space_group_name_H-M 'P 4 m m'
_symmetry_Int_Tables_number 99
_cell_length_a 3.6350
_cell_length_b 3.6350
_cell_length_c 10.1649
_cell_angle_alpha 90.00
_cell_angle_beta 90.00
_cell_angle_gamma 90.00
loop_
_symmetry_equiv_pos_as_xyz
'x,y,z'
'-y,x,z'
'-x,-y,z'
'y,-x,z'
'-x,y,z'
'y,x,z'
'x,-y,z'
'-y,-x,z'
loop_
_atom_site_label
_atom_site_fract_x
_atom_site_fract_y
_atom_site_fract_z
_atom_site_occupancy
Ba1 0.0000 0.0000 0.0000 1
Ba2 0.5000 0.5000 0.3806 1
Zr1 0.5000 0.5000 0.7162 1
Rh1 0.0000 0.0000 0.6192 1

---

Record 11
# Sn5Se5Br2 | the Alexandria database | PBE | relaxed
# energy = -88.5 eV/cell
data_Sn5Se5Br2
_symmetry_space_group_name_H-M 'I 4 m m'
_symmetry_Int_Tables_number 107
_symmetry_space_group_name_Hall 'I 4 -2'
_cell_length_a 8.2819
_cell_length_b 8.2819
_cell_length_c 13.3067
_cell_angle_alpha 90.00
_cell_angle_beta 90.00
_cell_angle_gamma 90.00
loop_
_atom_site_label
_atom_site_fract_x
_atom_site_fract_y
_atom_site_fract_z
_atom_site_occupancy
Sn1 0.0000 0.0000 0.0000 1
Sn2 0.0000 0.3235 0.5073 1
Se1 0.0000 0.0000 0.4311 1
Se2 0.2198 0.2198 0.1066 1
Br1 0.0000 0.5000 0.3094 1

---

Record 12
# TaMnAs | the Alexandria database | PBE | relaxed
# energy of formation = 0.1306 eV/atom
data_TaMnAs
_symmetry_space_group_name_H-M 'P 3 m 1'
_symmetry_Int_Tables_number 156
_cell_length_a 3.1038
_cell_length_b 3.1038
_cell_length_c 5.9456
_cell_angle_alpha 90.00
_cell_angle_beta 90.00
_cell_angle_gamma 120.00
loop_
_symmetry_equiv_pos_as_xyz
'x,y,z'
'-y,x-y,z'
'-x+y,-x,z'
'-y,-x,z'
'-x+y,y,z'
'x,x-y,z'
loop_
_atom_site_label
_atom_site_fract_x
_atom_site_fract_y
_atom_site_fract_z
_atom_site_occupancy
Ta1 0.0000 0.0000 0.0000 1
Mn1 0.6667 0.3333 0.6592 1
As1 0.3333 0.6667 0.3428 1

---

Record 13
# InRhN2O | the Alexandria database | PBE | relaxed
# energy = -28.2 eV/cell
data_InRhN2O
_symmetry_space_group_name_H-M 'P 4/m m m'
_symmetry_Int_Tables_number 123
_symmetry_space_group_name_Hall '-P 4 2'
_cell_length_a 3.8382
_cell_length_b 3.8382
_cell_length_c 4.2725
_cell_angle_alpha 90.00
_cell_angle_beta 90.00
_cell_angle_gamma 90.00
loop_
_atom_site_label
_atom_site_fract_x
_atom_site_fract_y
_atom_site_fract_z
_atom_site_occupancy
In1 0.0000 0.0000 0.0000 1
Rh1 0.5000 0.5000 0.5000 1
N1 0.0000 0.5000 0.5000 1
O1 0.5000 0.5000 0.0000 1

---

Record 14
# TaCuRe3 | the Alexandria database | PBE | relaxed
# ΔE to the lowest computed polymorph = 0 meV/atom
# energy of formation = 1.6569 eV/atom
data_TaCuRe3
_symmetry_space_group_name_H-M 'P m -3 m'
_symmetry_Int_Tables_number 221
_symmetry_space_group_name_Hall '-P 4 2 3'
_cell_length_a 4.4221
_cell_length_b 4.4221
_cell_length_c 4.4221
_cell_angle_alpha 90.00
_cell_angle_beta 90.00
_cell_angle_gamma 90.00
loop_
_atom_site_label
_atom_site_fract_x
_atom_site_fract_y
_atom_site_fract_z
_atom_site_occupancy
Ta1 0.0000 0.0000 0.0000 1
Cu1 0.5000 0.5000 0.5000 1
Re1 0.0000 0.5000 0.5000 1

---

Record 15
# CsCa2GaF8 | the Alexandria database | PBE | relaxed
# energy = -61.8 eV/cell
data_CsCa2GaF8
_symmetry_space_group_name_H-M 'P -1'
_symmetry_Int_Tables_number 2
_cell_length_a 5.3365
_cell_length_b 5.3773
_cell_length_c 7.8185
_cell_angle_alpha 79.31
_cell_angle_beta 80.28
_cell_angle_gamma 79.17
loop_
_symmetry_equiv_pos_as_xyz
'x,y,z'
'-x,-y,-z'
loop_
_atom_site_label
_atom_site_fract_x
_atom_site_fract_y
_atom_site_fract_z
_atom_site_occupancy
Cs1 0.0000 0.0000 0.0000 1
Ca1 0.4502 0.4491 0.2435 1
Ga1 0.0000 0.0000 0.5000 1
F1 0.1714 0.7650 0.6824 1
F2 0.2256 0.8144 0.3260 1
F3 0.2425 0.2253 0.4778 1
F4 0.3559 0.3304 0.0066 1

---

Record 16
# Dy2ZrS5 | the Alexandria database | PBE | relaxed
# ΔE to the lowest computed polymorph = 60 meV/atom
data_Dy2ZrS5
_symmetry_space_group_name_H-M 'C m c m'
_symmetry_Int_Tables_number 63
_symmetry_space_group_name_Hall '-C 2c 2'
_cell_length_a 5.2121
_cell_length_b 13.1294
_cell_length_c 12.7965
_cell_angle_alpha 90.00
_cell_angle_beta 90.00
_cell_angle_gamma 90.00
loop_
_atom_site_label
_atom_site_fract_x
_atom_site_fract_y
_atom_site_fract_z
_atom_site_occupancy
Dy1 0.0000 0.1454 0.0606 1
Zr1 0.0000 0.1923 0.7500 1
S1 0.0000 0.0486 0.6232 1
S2 0.0000 0.2598 0.2500 1
S3 0.0000 0.3089 0.5812 1

---

Record 17
# TmSi2Pt7Pb2 | the Alexandria database | PBE | relaxed
# energy = -145.6 eV/cell
data_TmSi2Pt7Pb2
_symmetry_space_group_name_H-M 'C 1 2/m 1'
_symmetry_Int_Tables_number 12
_cell_length_a 5.6468
_cell_length_b 5.6498
_cell_length_c 15.3933
_cell_angle_alpha 90.00
_cell_angle_beta 100.34
_cell_angle_gamma 90.00
loop_
_symmetry_equiv_pos_as_xyz
'x,y,z'
'-x,-y,-z'
'-x,y,-z'
'x,-y,z'
'x+1/2,y+1/2,z'
'-x+1/2,-y+1/2,-z'
'-x+1/2,y+1/2,-z'
'x+1/2,-y+1/2,z'
loop_
_atom_site_label
_atom_site_fract_x
_atom_site_fract_y
_atom_site_fract_z
_atom_site_occupancy
Tm1 0.0000 0.0000 0.0000 1
Si1 0.1134 0.5000 0.2317 1
Pt1 0.0000 0.5000 0.0000 1
Pt2 0.1799 0.2501 0.8563 1
Pt3 0.1920 0.5000 0.3845 1
Pb1 0.2085 0.0000 0.4181 1

---

Record 18
# Sr2HfZrAs4 | the Alexandria database | PBE | relaxed
# energy of formation = -1.1325 eV/atom
data_Sr2HfZrAs4
_symmetry_space_group_name_H-M 'P 1 2/m 1'
_symmetry_Int_Tables_number 10
_cell_length_a 6.9760
_cell_length_b 4.0389
_cell_length_c 7.4636
_cell_angle_alpha 90.00
_cell_angle_beta 108.19
_cell_angle_gamma 90.00
loop_
_symmetry_equiv_pos_as_xyz
'x,y,z'
'-x,-y,-z'
'-x,y,-z'
'x,-y,z'
loop_
_atom_site_label
_atom_site_fract_x
_atom_site_fract_y
_atom_site_fract_z
_atom_site_occupancy
Sr1 0.0000 0.0000 0.0000 1
Sr2 0.5000 0.5000 0.0000 1
Hf1 0.0000 0.5000 0.5000 1
Zr1 0.5000 0.0000 0.5000 1
As1 0.2350 0.0000 0.7115 1
As2 0.2601 0.5000 0.2873 1

---

Record 19
# LiMnBe2 | the Alexandria database | PBE | relaxed
# energy of formation = 0.1180 eV/atom
data_LiMnBe2
_symmetry_space_group_name_H-M 'C 1 m 1'
_symmetry_Int_Tables_number 8
_cell_length_a 8.5060
_cell_length_b 2.2711
_cell_length_c 4.1625
_cell_angle_alpha 90.00
_cell_angle_beta 106.76
_cell_angle_gamma 90.00
loop_
_symmetry_equiv_pos_as_xyz
'x,y,z'
'x,-y,z'
'x+1/2,y+1/2,z'
'x+1/2,-y+1/2,z'
loop_
_atom_site_label
_atom_site_fract_x
_atom_site_fract_y
_atom_site_fract_z
_atom_site_occupancy
Li1 0.0000 0.0000 0.0000 1
Mn1 0.2887 0.5000 0.3821 1
Be1 0.0397 0.5000 0.5109 1
Be2 0.2475 0.0000 0.8592 1

---

Record 20
# TmCo5H11 | the Alexandria database | PBE | relaxed
# energy = -154.3 eV/cell
data_TmCo5H11
_symmetry_space_group_name_H-M 'C 1 2/m 1'
_symmetry_Int_Tables_number 12
_cell_length_a 7.9249
_cell_length_b 7.5761
_cell_length_c 4.5723
_cell_angle_alpha 90.00
_cell_angle_beta 122.17
_cell_angle_gamma 90.00
loop_
_symmetry_equiv_pos_as_xyz
'x,y,z'
'-x,-y,-z'
'-x,y,-z'
'x,-y,z'
'x+1/2,y+1/2,z'
'-x+1/2,-y+1/2,-z'
'-x+1/2,y+1/2,-z'
'x+1/2,-y+1/2,z'
loop_
_atom_site_label
_atom_site_fract_x
_atom_site_fract_y
_atom_site_fract_z
_atom_site_occupancy
Tm1 0.0000 0.0000 0.0000 1
Co1 0.0000 0.5000 0.0000 1
Co2 0.2034 0.1749 0.7025 1
H1 0.0000 0.0000 0.5000 1
H2 0.1003 0.2584 0.3142 1
H3 0.2045 0.3660 0.8852 1
H4 0.2265 0.5000 0.4235 1